# 1
# PaNi2Sn PBEsol optimized geometry
data_PaNi2Sn
_cell_length_a 4.565
_cell_length_b 4.565
_cell_length_c 4.565
_cell_angle_alpha 60.00
_cell_angle_beta 60.00
_cell_angle_gamma 60.00
_symmetry_space_group_name_H-M 'P 1'
_symmetry_Int_Tables_number 1
loop_
_symmetry_equiv_pos_as_xyz
'x,y,z'
loop_
_atom_site_label
_atom_site_fract_x
_atom_site_fract_y
_atom_site_fract_z
Pa1 0.000 0.000 0.000
Ni1 0.250 0.250 0.250
Ni2 0.750 0.750 0.750
Sn1 0.500 0.500 0.500
# **Magnetization**: 0.00 μB/f.u.
# **ΔE_f**: -0.417 eV per atom
# **Fermi-level density of states**: 0.923 states/eV per atom
# **VASP energy**: -7.1179 eV per atom
# **Calculated volume**: 16.81 Å³ per atom


# 2
# NiPb3 PBEsol optimized geometry
data_NiPb3
_cell_length_a 5.870
_cell_length_b 5.870
_cell_length_c 5.870
_cell_angle_alpha 146.16
_cell_angle_beta 72.84
_cell_angle_gamma 117.68
_symmetry_space_group_name_H-M 'P 1'
_symmetry_Int_Tables_number 1
loop_
_symmetry_equiv_pos_as_xyz
'x,y,z'
loop_
_atom_site_label
_atom_site_fract_x
_atom_site_fract_y
_atom_site_fract_z
Ni1 0.000 0.000 0.000
Pb1 0.021 0.705 0.316
Pb2 0.389 0.705 0.684
Pb3 0.667 0.167 0.500
# **Magnetization**: 0.00 μB/f.u.
# **ΔE_f**: 0.137 eV per atom
# **Fermi-level density of states**: 0.523 states/eV per atom
# **VASP energy**: -4.4010 eV per atom
# **Calculated volume**: 24.52 Å³ per atom


# 3
# Ni2Pb PBEsol optimized geometry
data_Ni2Pb
_cell_length_a 4.020
_cell_length_b 4.020
_cell_length_c 3.292
_cell_angle_alpha 90.00
_cell_angle_beta 90.00
_cell_angle_gamma 120.00
_symmetry_space_group_name_H-M 'P 1'
_symmetry_Int_Tables_number 1
loop_
_symmetry_equiv_pos_as_xyz
'x,y,z'
loop_
_atom_site_label
_atom_site_fract_x
_atom_site_fract_y
_atom_site_fract_z
Ni1 0.333 0.667 0.000
Ni2 0.667 0.333 0.000
Pb1 0.000 0.000 0.500
# **Magnetization**: 0.44 μB/f.u.
# **ΔE_f**: 0.347 eV per atom
# **Fermi-level density of states**: 1.090 states/eV per atom
# **VASP energy**: -5.0908 eV per atom
# **Calculated volume**: 15.35 Å³ per atom


# 4
# NiPb3 PBEsol optimized geometry
data_NiPb3
_cell_length_a 5.919
_cell_length_b 5.919
_cell_length_c 5.919
_cell_angle_alpha 116.48
_cell_angle_beta 116.48
_cell_angle_gamma 116.48
_symmetry_space_group_name_H-M 'P 1'
_symmetry_Int_Tables_number 1
loop_
_symmetry_equiv_pos_as_xyz
'x,y,z'
loop_
_atom_site_label
_atom_site_fract_x
_atom_site_fract_y
_atom_site_fract_z
Ni1 0.000 0.000 0.000
Pb1 0.000 0.500 0.500
Pb2 0.500 0.000 0.500
Pb3 0.500 0.500 0.000
# **Magnetization**: 0.00 μB/f.u.
# **ΔE_f**: 0.482 eV per atom
# **Fermi-level density of states**: 0.752 states/eV per atom
# **VASP energy**: -4.0565 eV per atom
# **Calculated volume**: 24.65 Å³ per atom


# 5
# Ni2Pd2Pb PBEsol optimized geometry
data_Ni2Pd2Pb
_cell_length_a 7.174
_cell_length_b 7.174
_cell_length_c 7.174
_cell_angle_alpha 152.57
_cell_angle_beta 152.57
_cell_angle_gamma 39.18
_symmetry_space_group_name_H-M 'P 1'
_symmetry_Int_Tables_number 1
loop_
_symmetry_equiv_pos_as_xyz
'x,y,z'
loop_
_atom_site_label
_atom_site_fract_x
_atom_site_fract_y
_atom_site_fract_z
Ni1 0.250 0.750 0.500
Ni2 0.750 0.250 0.500
Pd1 0.110 0.110 0.000
Pd2 0.890 0.890 0.000
Pb1 0.500 0.500 0.000
# **Magnetization**: 0.96 μB/f.u.
# **ΔE_f**: 0.183 eV per atom
# **Fermi-level density of states**: 1.564 states/eV per atom
# **VASP energy**: -5.4635 eV per atom
# **Calculated volume**: 15.64 Å³ per atom


# 6
# NiPdPb3 PBEsol optimized geometry
data_NiPdPb3
_cell_length_a 5.205
_cell_length_b 5.205
_cell_length_c 5.205
_cell_angle_alpha 90.00
_cell_angle_beta 90.00
_cell_angle_gamma 90.00
_symmetry_space_group_name_H-M 'P 1'
_symmetry_Int_Tables_number 1
loop_
_symmetry_equiv_pos_as_xyz
'x,y,z'
loop_
_atom_site_label
_atom_site_fract_x
_atom_site_fract_y
_atom_site_fract_z
Ni1 0.000 0.000 0.000
Pd1 0.500 0.500 0.500
Pb1 0.000 0.500 0.500
Pb2 0.500 0.000 0.500
Pb3 0.500 0.500 0.000
# **Magnetization**: 0.03 μB/f.u.
# **ΔE_f**: 0.701 eV per atom
# **Fermi-level density of states**: 1.241 states/eV per atom
# **VASP energy**: -4.1214 eV per atom
# **Calculated volume**: 28.20 Å³ per atom